The following is a DFT calculation (PBE) of a relaxed KLa3Y crystal.

## Properties
Energy of formation (meV/atom): 581.5

Unit cell a=6.1637 b=6.1637 c=6.1637 alpha=90.00 beta=90.00 gamma=90.00
Positions (direct):
K (0.0000, 0.0000, 0.0000)
La (0.0000, 0.5000, 0.5000)
La (0.5000, 0.0000, 0.5000)
La (0.5000, 0.5000, 0.0000)
Y (0.5000, 0.5000, 0.5000)



The following is a DFT calculation (PBE) of a relaxed Mg2AlPd crystal.

## Properties
Energy of formation (meV/atom): -405.0

Unit cell a=4.5685 b=4.5685 c=4.5685 alpha=60.00 beta=60.00 gamma=60.00
Positions (direct):
Mg (0.0000, 0.0000, 0.0000)
Mg (0.2500, 0.2500, 0.2500)
Al (0.5000, 0.5000, 0.5000)
Pd (0.7500, 0.7500, 0.7500)



The following is a DFT calculation (PBE) of a relaxed MgScNb crystal.

## Properties
Energy of formation (meV/atom): 137.8

Unit cell a=2.9958 b=4.6912 c=9.0320 alpha=90.00 beta=96.19 gamma=90.00
Positions (direct):
Mg (0.0000, 0.0000, 0.0000)
Mg (0.4944, 0.5000, 0.1662)
Sc (0.0436, 0.0000, 0.3515)
Sc (0.0474, 0.0000, 0.6769)
Nb (0.5281, 0.5000, 0.8219)
Nb (0.5871, 0.5000, 0.5221)



Number 1: M_tot 0.00 Bohr magnetons per cell. Number 2: M_tot 0.00 Bohr magnetons per cell. Number 3: M_tot 0.00 Bohr magnetons per cell.